# 1
CdSiTe2: optimized geometry, PBE.

Summary:
The space group is Imm2, No. 44. Its polymorph energy (0 for the lowest one) is 188 meV per atom. For the formation energy without anion corrections, the calculation gives 147 meV/atom. Its magnetization is 0.000 μB per formula unit.

a b c (Å): 7.5537 7.5537 7.5537
angles (deg): 150.24 149.43 43.19
Fractional coordinates of all 4 atoms:
Cd  0.0000  0.0000  0.0000
Si  0.2518  0.7518  0.5000
Te  0.4027  0.4027  0.0000
Te  0.6701  0.1701  0.5000


# 2
CdSiTe2: optimized geometry, PBE.

Summary:
The space group is Cmm2, No. 35. Its polymorph energy (0 for the lowest one) is 346 meV per atom. For the formation energy without anion corrections, the calculation gives 304 meV/atom. Its magnetization is 0.000 μB per formula unit.

a b c (Å): 3.4738 3.4738 9.9144
angles (deg): 90.00 90.00 114.44
Fractional coordinates of all 4 atoms:
Cd  0.0000  0.0000  0.0000
Si  0.5000  0.5000  0.2121
Te  0.0000  0.0000  0.4046
Te  0.5000  0.5000  0.7687


# 3
Cd2SiTe: optimized geometry, PBE.

Summary:
The space group is P4/mmm, No. 123. Its polymorph energy (0 for the lowest one) is 243 meV per atom. For the formation energy without anion corrections, the calculation gives 375 meV/atom. Its magnetization is 0.000 μB per formula unit.

a b c (Å): 4.7596 4.7596 4.2097
angles (deg): 90.00 90.00 90.00
Fractional coordinates of all 4 atoms:
Cd  0.0000  0.5000  0.0000
Cd  0.5000  0.0000  0.0000
Si  0.0000  0.0000  0.5000
Te  0.5000  0.5000  0.5000


# 4
CdSi4Te: optimized geometry, PBE.

Summary:
The space group is F-43m, No. 216. For the formation energy without anion corrections, the calculation gives 566 meV/atom. Its magnetization is 0.000 μB per formula unit.

a b c (Å): 5.4404 5.4404 5.4404
angles (deg): 60.00 60.00 60.00
Fractional coordinates of all 6 atoms:
Cd  0.0000  0.0000  0.0000
Si  0.1196  0.6268  0.6268
Si  0.6268  0.1196  0.6268
Si  0.6268  0.6268  0.1196
Si  0.6268  0.6268  0.6268
Te  0.2500  0.2500  0.2500


# 5
CdSi2Te: optimized geometry, PBE.

Summary:
The space group is Pmm2, No. 25. Its polymorph energy (0 for the lowest one) is 40 meV per atom. For the formation energy without anion corrections, the calculation gives 238 meV/atom. Its magnetization is 0.000 μB per formula unit.

a b c (Å): 3.5847 3.6721 7.2345
angles (deg): 90.00 90.00 90.00
Fractional coordinates of all 4 atoms:
Cd  0.0000  0.0000  0.0000
Si  0.0000  0.0000  0.3558
Si  0.5000  0.5000  0.4090
Te  0.5000  0.5000  0.7708


# 6
CdSi2Te: optimized geometry, PBE.

Summary:
The space group is Pmmm, No. 47. Its polymorph energy (0 for the lowest one) is 391 meV per atom. For the formation energy without anion corrections, the calculation gives 588 meV/atom. Its magnetization is 0.000 μB per formula unit.

a b c (Å): 3.5993 4.7663 5.0313
angles (deg): 90.00 90.00 90.00
Fractional coordinates of all 4 atoms:
Cd  0.0000  0.0000  0.0000
Si  0.0000  0.5000  0.5000
Si  0.5000  0.5000  0.0000
Te  0.5000  0.0000  0.5000


# 7
CdSi2Te: optimized geometry, PBE.

Summary:
The space group is Pm, No. 6. Its polymorph energy (0 for the lowest one) is 68 meV per atom. For the formation energy without anion corrections, the calculation gives 266 meV/atom. Its magnetization is 0.000 μB per formula unit.

a b c (Å): 3.2337 3.8363 7.6244
angles (deg): 90.00 90.01 90.00
Fractional coordinates of all 4 atoms:
Cd  0.0000  0.0000  0.0000
Si  0.0005  0.5000  0.3520
Si  0.5008  0.0000  0.2941
Te  0.0052  0.5000  0.7087


# 8
CdSiTe2: optimized geometry, PBE.

Summary:
The space group is P4/mmm, No. 123. Its polymorph energy (0 for the lowest one) is 355 meV per atom. For the formation energy without anion corrections, the calculation gives 314 meV/atom. Its magnetization is 0.000 μB per formula unit.

a b c (Å): 3.6933 3.6933 7.2541
angles (deg): 90.00 90.00 90.00
Fractional coordinates of all 4 atoms:
Cd  0.0000  0.0000  0.0000
Si  0.0000  0.0000  0.5000
Te  0.5000  0.5000  0.2703
Te  0.5000  0.5000  0.7297


Calculated density, 6.1, 6.0, 6.6, 5.1, 5.2, 5.7, 5.2, 6.6 g cm⁻³ (same order as the records).
Calculated volume, 27.1, 27.2, 23.8, 19.0, 23.8, 21.6, 23.6, 24.7 Å³ per atom (same order as the records).